LaPm2Sm3Te6: relaxed, PBE-GGA.

**Size of the total moment**: 0.000 μB per atom
**ΔE_f (raw)**: -1.428 eV per atom

The structure in CIF format:
```
data_LaPm2Sm3Te6
_chemical_formula_sum 'La1 Pm2 Sm3 Te6'
_space_group_name_H-M_alt 'P 1'
_space_group_IT_number 1
_space_group_name_Hall 'P 1'
_cell_length_a 9.997
_cell_length_b 9.997
_cell_length_c 8.987
_cell_angle_alpha 102.96
_cell_angle_beta 102.96
_cell_angle_gamma 25.78
loop_
_atom_site_label
_atom_site_fract_x
_atom_site_fract_y
_atom_site_fract_z
La1 0.000 0.000 0.000
Pm1 0.332 0.332 0.666
Pm2 0.668 0.668 0.334
Sm1 0.000 0.000 0.500
Sm2 0.335 0.335 0.169
Sm3 0.665 0.665 0.831
Te1 0.166 0.166 0.584
Te2 0.170 0.170 0.083
Te3 0.499 0.499 0.744
Te4 0.501 0.501 0.256
Te5 0.830 0.830 0.917
Te6 0.834 0.834 0.416
```